## UIn6F12 (GGA-PBE)

Data for UIn6F12 after structural relaxation.

Unit cell a=7.872 b=7.872 c=7.872 alpha=102.46 beta=102.46 gamma=102.46
Fractional coordinates of all 19 atoms:
U (0.000, 0.000, 0.000)
In (0.184, 0.330, 0.595)
In (0.330, 0.595, 0.184)
In (0.405, 0.816, 0.670)
In (0.595, 0.184, 0.330)
In (0.670, 0.405, 0.816)
In (0.816, 0.670, 0.405)
F (0.001, 0.915, 0.729)
F (0.085, 0.271, 0.999)
F (0.221, 0.530, 0.421)
F (0.271, 0.999, 0.085)
F (0.421, 0.221, 0.530)
F (0.470, 0.579, 0.779)
F (0.530, 0.421, 0.221)
F (0.579, 0.779, 0.470)
F (0.729, 0.001, 0.915)
F (0.779, 0.470, 0.579)
F (0.915, 0.729, 0.001)
F (0.999, 0.085, 0.271)

- Calculated volume: 447.2 Å³/f.u.
- Uncorrected energy: -94.11 eV for the cell shown